Record 1
{"formula": "Rh3Cl5", "functional": "GGA-PBE", "state": "optimized geometry", "lattice": [[7.453, -0.010, 0.020], [-4.609, 5.892, 0.019], [0.725, 1.464, 8.303]], "species": ["Rh", "Rh", "Rh", "Rh", "Rh", "Rh", "Cl", "Cl", "Cl", "Cl", "Cl", "Cl", "Cl", "Cl", "Cl", "Cl"], "fractional_positions": [[0.764, 0.772, 0.958], [0.369, 0.063, 0.397], [0.206, 0.706, 0.147], [0.895, 0.394, 0.714], [0.271, 0.264, 0.958], [0.565, 0.872, 0.396], [0.687, 0.539, 0.751], [0.287, 0.521, 0.329], [0.018, 0.785, 0.330], [0.826, 0.023, 0.145], [0.145, 0.888, 0.949], [0.042, 0.189, 0.749], [0.386, 0.643, 0.949], [0.278, 0.778, 0.612], [0.520, 0.324, 0.148], [0.747, 0.247, 0.463]], "final_energy_ev_per_cell": -64.43, "magmom_total_mub_per_cell": 3.94, "volume_a3_per_cell": 364, "formation_energy_uncorrected_ev_per_atom": -0.12}

Record 2
{"formula": "NaCdSn2", "functional": "GGA-PBE", "state": "optimized geometry", "lattice": [[4.624, 0.000, 0.000], [0.000, 4.696, 0.000], [0.000, 0.000, 4.696]], "species": ["Na", "Cd", "Sn", "Sn"], "fractional_positions": [[0.500, 0.500, 0.500], [0.500, 0.000, 0.000], [0.000, 0.000, 0.500], [0.000, 0.500, 0.000]], "final_energy_ev_per_cell": -10.58, "magmom_total_mub_per_cell": 0.00, "e_form_mev_per_atom": -85, "volume_a3_per_cell": 102}

Record 3
{"formula": "PPt2Se", "functional": "GGA-PBE", "state": "optimized geometry", "lattice": [[0.255, -1.728, 5.406], [-2.862, 4.537, 1.873], [0.174, -5.024, -2.647]], "species": ["Pt", "Pt", "Se", "P"], "fractional_positions": [[0.785, 0.785, 0.000], [0.215, 0.215, 0.000], [0.500, 0.000, 0.500], [0.000, 0.500, 0.500]], "final_energy_ev_per_cell": -20.23, "magmom_total_mub_per_cell": 0.00, "volume_a3_per_cell": 85, "formation_energy_uncorrected_ev_per_atom": 0.19}

Record 4
{"formula": "SrBeRe2", "functional": "GGA-PBE", "state": "optimized geometry", "lattice": [[-0.351, 1.794, 4.196], [-2.146, -2.321, 3.309], [2.397, -1.791, 3.463]], "species": ["Be", "Re", "Re", "Sr"], "fractional_positions": [[0.500, 0.500, 0.500], [0.000, 0.000, 0.000], [0.250, 0.250, 0.250], [0.750, 0.750, 0.750]], "final_energy_ev_per_cell": -26.55, "magmom_total_mub_per_cell": 0.00, "e_form_mev_per_atom": 940, "volume_a3_per_cell": 68}

Record 5
{"formula": "SiSnSbPt2", "functional": "GGA-PBE", "state": "optimized geometry", "lattice": [[4.599, 0.000, 0.000], [0.000, 5.358, 0.000], [0.000, 0.000, 4.599]], "species": ["Pt", "Pt", "Si", "Sb", "Sn"], "fractional_positions": [[0.500, 0.000, 0.000], [0.000, 0.000, 0.500], [0.000, 0.000, 0.000], [0.500, 0.500, 0.500], [0.000, 0.500, 0.000]], "final_energy_ev_per_cell": -24.25, "magmom_total_mub_per_cell": 0.00, "volume_a3_per_cell": 113, "formation_energy_uncorrected_ev_per_atom": 0.28}

Record 6
{"formula": "Tb5OsPt2", "functional": "GGA-PBE", "state": "optimized geometry", "lattice": [[-2.009, -3.330, 1.694], [6.703, -2.417, 3.197], [-2.380, 6.460, 9.876]], "species": ["Tb", "Tb", "Tb", "Tb", "Tb", "Tb", "Tb", "Tb", "Tb", "Tb", "Pt", "Pt", "Pt", "Pt", "Os", "Os"], "fractional_positions": [[0.000, 0.000, 0.500], [0.500, 0.177, 0.090], [0.000, 0.662, 0.701], [0.500, 0.823, 0.910], [0.000, 0.838, 0.201], [0.000, 0.162, 0.799], [0.500, 0.677, 0.410], [0.500, 0.323, 0.590], [0.000, 0.500, 0.000], [0.000, 0.338, 0.299], [0.500, 0.456, 0.828], [0.500, 0.956, 0.672], [0.500, 0.544, 0.172], [0.500, 0.044, 0.328], [0.000, 0.500, 0.500], [0.000, 0.000, 0.000]], "final_energy_ev_per_cell": -104.82, "magmom_total_mub_per_cell": 0.00, "e_form_mev_per_atom": -743, "volume_a3_per_cell": 399}

Record 7
{"formula": "NaLaCu2H8", "functional": "GGA-PBE", "state": "optimized geometry", "lattice": [[-0.189, 2.187, -3.931], [-3.731, -0.524, 2.466], [1.462, 6.635, 3.621]], "species": ["H", "H", "H", "H", "H", "H", "H", "H", "Na", "Cu", "Cu", "La"], "fractional_positions": [[0.995, 0.307, 0.735], [0.307, 0.312, 0.265], [0.693, 0.688, 0.735], [0.688, 0.995, 0.265], [0.667, 0.333, 0.013], [0.005, 0.693, 0.265], [0.312, 0.005, 0.735], [0.333, 0.667, 0.987], [0.000, 0.000, 0.500], [0.333, 0.667, 0.772], [0.667, 0.333, 0.228], [0.000, 0.000, 0.000]], "final_energy_ev_per_cell": -40.86, "magmom_total_mub_per_cell": 0.00, "volume_a3_per_cell": 135}

Record 8
{"formula": "NaScV2", "functional": "GGA-PBE", "state": "optimized geometry", "lattice": [[-1.452, -3.526, -0.136], [2.710, -1.021, -2.485], [6.657, -5.053, 6.405]], "species": ["V", "V", "V", "V", "Na", "Na", "Sc", "Sc"], "fractional_positions": [[0.375, 0.889, 0.750], [0.639, 0.625, 0.250], [0.875, 0.361, 0.750], [0.111, 0.125, 0.250], [0.500, 0.500, 0.000], [0.250, 0.750, 0.500], [0.000, 0.000, 0.000], [0.750, 0.250, 0.500]], "final_energy_ev_per_cell": -43.50, "magmom_total_mub_per_cell": 4.16, "e_form_mev_per_atom": 1035, "volume_a3_per_cell": 148}

Record 9
{"formula": "TlRhBr6", "functional": "GGA-PBE", "state": "optimized geometry", "lattice": [[-5.315, -2.214, -2.513], [1.134, -4.749, 3.953], [-2.582, 3.968, 4.130]], "species": ["Rh", "Br", "Br", "Br", "Br", "Br", "Br", "Tl"], "fractional_positions": [[0.500, 0.500, 0.500], [0.415, 0.781, 0.781], [0.219, 0.585, 0.219], [0.585, 0.219, 0.219], [0.219, 0.219, 0.585], [0.781, 0.415, 0.781], [0.781, 0.781, 0.415], [0.000, 0.000, 0.000]], "final_energy_ev_per_cell": -22.08, "magmom_total_mub_per_cell": 0.00, "volume_a3_per_cell": 240, "formation_energy_uncorrected_ev_per_atom": -0.29}

Record 10
{"formula": "Nd2YErTl2", "functional": "GGA-PBE", "state": "optimized geometry", "lattice": [[5.134, 0.000, 0.000], [0.000, 6.912, 0.000], [0.000, 0.000, 10.193]], "species": ["Tl", "Tl", "Tl", "Tl", "Nd", "Nd", "Nd", "Nd", "Y", "Y", "Er", "Er"], "fractional_positions": [[0.000, 0.800, 0.145], [0.500, 0.218, 0.377], [0.000, 0.300, 0.855], [0.500, 0.718, 0.623], [0.000, 0.831, 0.813], [0.500, 0.061, 0.045], [0.500, 0.561, 0.955], [0.000, 0.331, 0.187], [0.000, 0.459, 0.543], [0.000, 0.959, 0.457], [0.500, 0.175, 0.685], [0.500, 0.675, 0.315]], "final_energy_ev_per_cell": -53.92, "magmom_total_mub_per_cell": 0.00, "e_form_mev_per_atom": -277, "volume_a3_per_cell": 362}

Record 11
{"formula": "SmDyCoRu", "functional": "GGA-PBE", "state": "optimized geometry", "lattice": [[4.821, 0.000, 0.000], [2.410, 4.175, 0.000], [2.410, 1.392, 3.936]], "species": ["Sm", "Dy", "Ru", "Co"], "fractional_positions": [[0.750, 0.750, 0.750], [0.250, 0.250, 0.250], [0.500, 0.500, 0.500], [0.000, 0.000, 0.000]], "final_energy_ev_per_cell": -26.33, "magmom_total_mub_per_cell": 0.00, "e_form_mev_per_atom": -156, "volume_a3_per_cell": 79}

Record 12
{"formula": "Sm2Ga3Cu", "functional": "GGA-PBE", "state": "optimized geometry", "lattice": [[4.425, 0.000, 0.000], [-2.213, 3.832, 0.000], [0.000, 0.000, 7.480]], "species": ["Ga", "Ga", "Ga", "Sm", "Sm", "Cu"], "fractional_positions": [[0.333, 0.667, 0.041], [0.333, 0.667, 0.483], [0.667, 0.333, 0.956], [0.000, 0.000, 0.733], [0.000, 0.000, 0.262], [0.667, 0.333, 0.525]], "final_energy_ev_per_cell": -26.14, "magmom_total_mub_per_cell": 0.00, "e_form_mev_per_atom": -587, "volume_a3_per_cell": 127}